# 1
First-principles (GGA-PBE) data for crystalline CaRhPb2 at its relaxed geometry, as listed in the Alexandria database.

Properties
- V: 26.657 Å³/atom
- N(E_F): 2.344 states/eV/cell
- Electronic total energy: -17.68 eV for the cell shown

Cell: 3.6107 4.7053 6.6991 Å, 69.53 90.00 90.00°
Sites, in units of the cell vectors:
Pb 0.5000 0.4396 0.2455
Pb 0.0000 0.0561 0.0123
Ca 0.5000 0.7319 0.6615
Rh 0.0000 0.2723 0.5807



# 2
First-principles (GGA-PBE) data for crystalline InAgP2 at its relaxed geometry, as listed in the Alexandria database.

Properties
- V: 23.377 Å³/atom
- N(E_F): 3.142 states/eV/cell
- Electronic total energy: -29.56 eV for the cell shown

Cell: 3.6751 3.6751 15.9879 Å, 90.00 90.00 120.00°
Sites, in units of the cell vectors:
In 0.0000 0.0000 0.5000
In 0.0000 0.0000 0.0000
P 0.6667 0.3333 0.8991
P 0.3333 0.6667 0.1009
P 0.6667 0.3333 0.6009
P 0.3333 0.6667 0.3991
Ag 0.6667 0.3333 0.7500
Ag 0.3333 0.6667 0.2500



# 3
First-principles (GGA-PBE) data for crystalline TbScPb2 at its relaxed geometry, as listed in the Alexandria database.

Properties
- V: 30.522 Å³/atom
- N(E_F): 2.604 states/eV/cell
- Electronic total energy: -19.53 eV for the cell shown

Cell: 4.6449 4.6449 7.0632 Å, 70.80 70.80 60.00°
Sites, in units of the cell vectors:
Tb 0.6713 0.6713 0.9862
Pb 0.0885 0.0885 0.7345
Pb 0.2464 0.2464 0.2608
Sc 0.4938 0.4938 0.5185